Compound: TmZr2Fe
Source: the Alexandria database
Functional: PBE
Structure: relaxed Values from VASP.

Properties
* formation energy from the elements: -0.074 eV per atom
* total magnetization: 0.00 Bohr magnetons per cell
* energy: -7.581 eV/atom

Structure (Quantum ESPRESSO input):
```
&SYSTEM
  ibrav = 0, nat = 16, ntyp = 3
/
ATOMIC_SPECIES
Fe 55.84 Fe.upf
Zr 91.22 Zr.upf
Tm 168.93 Tm.upf
ATOMIC_POSITIONS angstrom
Fe 5.218 -3.053 -2.718
Fe 6.338 -6.860 1.349
Fe 3.219 -1.201 -0.239
Fe 4.339 -5.007 3.828
Zr 8.735 -6.002 1.749
Zr 6.226 -6.763 3.862
Zr 3.979 -5.990 1.472
Zr 6.488 -5.230 -0.642
Zr 3.068 -2.831 1.751
Zr 0.821 -2.059 -0.639
Zr 5.578 -2.071 -0.362
Zr 3.331 -1.298 -2.752
Tm 6.281 -3.763 2.403
Tm 0.687 -5.463 0.764
Tm 3.275 -4.297 -1.293
Tm 8.870 -2.598 0.346
CELL_PARAMETERS angstrom
-1.115 -5.712 -0.798
4.666 -0.285 -4.479
6.005 -2.064 6.387
```

Compound: Nd4BiAs3
Source: the Alexandria database
Functional: PBE
Structure: relaxed Values from VASP.

Properties
* formation energy from the elements: -1.350 eV per atom
* total magnetization: 0.00 Bohr magnetons per cell
* energy: -5.963 eV/atom

Structure (Quantum ESPRESSO input):
```
&SYSTEM
  ibrav = 0, nat = 16, ntyp = 3
/
ATOMIC_SPECIES
Bi 208.98 Bi.upf
Nd 144.24 Nd.upf
As 74.92 As.upf
ATOMIC_POSITIONS angstrom
Bi 2.157 1.245 21.855
Bi 0.000 2.490 7.285
Nd 2.157 1.245 27.433
Nd 0.000 2.490 1.707
Nd 0.000 0.000 5.123
Nd 0.000 2.490 12.863
Nd 0.000 0.000 19.693
Nd 0.000 0.000 24.017
Nd 0.000 0.000 9.447
Nd 2.157 1.245 16.277
As 0.000 2.490 25.657
As 2.157 1.245 11.087
As 0.000 2.490 18.053
As 0.000 0.000 14.570
As 2.157 1.245 3.483
As 0.000 0.000 0.000
CELL_PARAMETERS angstrom
4.313 0.000 0.000
-2.157 3.735 0.000
0.000 0.000 29.140
```

Compound: ZrTa2BiPt
Source: the Alexandria database
Functional: PBE
Structure: relaxed Values from VASP.

Properties
* formation energy from the elements: 1.462 eV per atom
* total magnetization: 0.00 Bohr magnetons per cell
* energy: -6.973 eV/atom

Structure (Quantum ESPRESSO input):
```
&SYSTEM
  ibrav = 0, nat = 5, ntyp = 4
/
ATOMIC_SPECIES
Ta 180.95 Ta.upf
Bi 208.98 Bi.upf
Zr 91.22 Zr.upf
Pt 195.08 Pt.upf
ATOMIC_POSITIONS angstrom
Ta 0.000 0.000 2.516
Ta 2.516 0.000 0.000
Bi 2.516 2.499 2.516
Zr 0.000 0.000 0.000
Pt 0.000 2.499 0.000
CELL_PARAMETERS angstrom
5.032 0.000 0.000
0.000 4.998 0.000
0.000 0.000 5.032
```

Compound: CaMo3Br
Source: the Alexandria database
Functional: PBE
Structure: relaxed Values from VASP.

Properties
* E_form (uncorrected): 1304.2 meV per atom
* total magnetization: 0.00 Bohr magnetons per cell
* energy: -5.929 eV/atom

Structure (Quantum ESPRESSO input):
```
&SYSTEM
  ibrav = 0, nat = 5, ntyp = 3
/
ATOMIC_SPECIES
Mo 95.94 Mo.upf
Br 79.90 Br.upf
Ca 40.08 Ca.upf
ATOMIC_POSITIONS angstrom
Mo 1.659 -1.669 -0.164
Mo 1.447 1.308 1.326
Mo -0.847 -1.033 1.944
Br 0.000 0.000 0.000
Ca 2.259 -1.393 3.106
CELL_PARAMETERS angstrom
-1.695 -2.065 3.889
3.318 -3.339 -0.327
2.895 2.617 2.652
```

Compound: Y2WAu
Source: the Alexandria database
Functional: PBE
Structure: relaxed Values from VASP.

Properties
* formation energy from the elements: 0.384 eV per atom
* total magnetization: 0.00 Bohr magnetons per cell
* energy: -6.906 eV/atom

Structure (Quantum ESPRESSO input):
```
&SYSTEM
  ibrav = 0, nat = 4, ntyp = 3
/
ATOMIC_SPECIES
Au 196.97 Au.upf
W 183.84 W.upf
Y 88.91 Y.upf
ATOMIC_POSITIONS angstrom
Au -3.891 -4.246 1.891
W -5.836 -6.369 2.837
Y -1.945 -2.123 0.946
Y 0.000 0.000 0.000
CELL_PARAMETERS angstrom
-4.785 -1.157 0.510
-1.495 -4.677 -0.623
-1.502 -2.658 3.896
```

Compound: Sn2CI
Source: the Alexandria database
Functional: PBE
Structure: relaxed Values from VASP.

Properties
* E_form (uncorrected): 706.3 meV per atom
* total magnetization: 0.00 Bohr magnetons per cell
* energy: -3.989 eV/atom

Structure (Quantum ESPRESSO input):
```
&SYSTEM
  ibrav = 0, nat = 8, ntyp = 3
/
ATOMIC_SPECIES
I 126.90 I.upf
Sn 118.71 Sn.upf
C 12.01 C.upf
ATOMIC_POSITIONS angstrom
I 0.000 0.000 0.000
I -7.367 -2.458 3.043
Sn -9.189 -5.207 6.845
Sn -4.623 -1.423 1.391
Sn -5.754 -3.168 5.911
Sn -2.605 -3.487 4.305
C -3.718 -4.185 6.183
C -3.370 -3.179 2.167
CELL_PARAMETERS angstrom
-7.018 -1.452 -0.973
0.279 -4.906 5.307
-4.346 -0.285 4.893
```

Compound: YHg2I
Source: the Alexandria database
Functional: PBE
Structure: relaxed Values from VASP.

Properties
* E_form (uncorrected): -404.4 meV per atom
* total magnetization: 0.00 Bohr magnetons per cell
* energy: -2.559 eV/atom

Structure (Quantum ESPRESSO input):
```
&SYSTEM
  ibrav = 0, nat = 4, ntyp = 3
/
ATOMIC_SPECIES
Hg 200.59 Hg.upf
Y 88.91 Y.upf
I 126.90 I.upf
ATOMIC_POSITIONS angstrom
Hg 3.908 2.745 3.276
Hg 1.259 3.694 4.229
Y 0.200 0.335 0.210
I 1.204 -0.194 3.358
CELL_PARAMETERS angstrom
-2.329 -0.725 3.387
2.942 -2.666 1.453
3.238 5.420 3.388
```

Compound: CePm3Cl
Source: the Alexandria database
Functional: PBE
Structure: relaxed Values from VASP.

Properties
* E_form (uncorrected): -400.8 meV per atom
* total magnetization: 1.16 Bohr magnetons per cell
* energy: -4.807 eV/atom

Structure (Quantum ESPRESSO input):
```
&SYSTEM
  ibrav = 0, nat = 5, ntyp = 3
/
ATOMIC_SPECIES
Pm 145.00 Pm.upf
Ce 140.12 Ce.upf
Cl 35.45 Cl.upf
ATOMIC_POSITIONS angstrom
Pm -2.024 -0.610 -1.718
Pm -1.304 -1.308 2.002
Pm -1.274 2.310 0.680
Ce -4.602 0.391 0.964
Cl 0.000 0.000 0.000
CELL_PARAMETERS angstrom
-2.547 4.619 1.360
-4.048 -1.221 -3.435
-2.608 -2.617 4.003
```

Compound: Rb2Cr2Ni
Source: the Alexandria database
Functional: PBE
Structure: relaxed Values from VASP.

Properties
* formation energy from the elements: 1.739 eV per atom
* total magnetization: 0.33 Bohr magnetons per cell
* energy: -3.654 eV/atom

Structure (Quantum ESPRESSO input):
```
&SYSTEM
  ibrav = 0, nat = 5, ntyp = 3
/
ATOMIC_SPECIES
Cr 52.00 Cr.upf
Ni 58.69 Ni.upf
Rb 85.47 Rb.upf
ATOMIC_POSITIONS angstrom
Cr 2.090 2.090 0.860
Cr 4.180 4.180 6.659
Ni 0.000 0.000 0.000
Rb 2.090 4.180 3.760
Rb 4.180 2.090 3.760
CELL_PARAMETERS angstrom
4.180 0.000 0.000
0.000 4.180 0.000
2.090 2.090 7.519
```

Compound: CsMgTiOs2
Source: the Alexandria database
Functional: PBE
Structure: relaxed Values from VASP.

Properties
* formation energy from the elements: 1.646 eV per atom
* total magnetization: 0.00 Bohr magnetons per cell
* energy: -4.914 eV/atom

Structure (Quantum ESPRESSO input):
```
&SYSTEM
  ibrav = 0, nat = 5, ntyp = 4
/
ATOMIC_SPECIES
Cs 132.91 Cs.upf
Os 190.23 Os.upf
Ti 47.87 Ti.upf
Mg 24.30 Mg.upf
ATOMIC_POSITIONS angstrom
Cs 0.000 2.759 0.000
Os 2.364 0.000 0.000
Os 0.000 0.000 2.364
Ti 0.000 0.000 0.000
Mg 2.364 2.759 2.364
CELL_PARAMETERS angstrom
4.728 0.000 0.000
0.000 5.519 0.000
0.000 0.000 4.728
```

Compound: LiSmGa2
Source: the Alexandria database
Functional: PBE
Structure: relaxed Values from VASP.

Properties
* formation energy from the elements: -0.427 eV per atom
* total magnetization: 0.00 Bohr magnetons per cell
* energy: -3.598 eV/atom

Structure (Quantum ESPRESSO input):
```
&SYSTEM
  ibrav = 0, nat = 4, ntyp = 3
/
ATOMIC_SPECIES
Ga 69.72 Ga.upf
Li 6.94 Li.upf
Sm 150.36 Sm.upf
ATOMIC_POSITIONS angstrom
Ga 0.000 0.000 1.371
Ga 0.000 0.000 5.499
Li 1.704 1.704 0.000
Sm 1.704 1.704 3.435
CELL_PARAMETERS angstrom
3.407 0.000 0.000
0.000 3.407 0.000
0.000 0.000 6.871
```

Compound: La6Pd2AuBr3
Source: the Alexandria database
Functional: PBE
Structure: relaxed Values from VASP.

Properties
* E_form (uncorrected): -1058.1 meV per atom
* total magnetization: 0.00 Bohr magnetons per cell
* energy: -5.079 eV/atom

Structure (Quantum ESPRESSO input):
```
&SYSTEM
  ibrav = 0, nat = 12, ntyp = 4
/
ATOMIC_SPECIES
Br 79.90 Br.upf
La 138.91 La.upf
Au 196.97 Au.upf
Pd 106.42 Pd.upf
ATOMIC_POSITIONS angstrom
Br 1.246 2.157 3.853
Br 5.009 -0.016 3.853
Br -2.517 4.330 3.853
La -1.277 2.211 1.648
La 3.768 2.104 6.058
La -0.061 4.315 6.058
La 2.553 -0.001 1.648
La 0.031 0.054 6.071
La 2.461 4.261 1.635
Au 0.000 0.000 0.000
Pd -0.001 4.317 0.000
Pd 3.740 2.156 0.000
CELL_PARAMETERS angstrom
7.470 0.002 0.000
-3.731 6.472 0.000
-1.247 -2.159 7.707
```

What is the formula in the eleventh record? LiSmGa2

Which formula does entry 12 have? La6Pd2AuBr3

What did the ninth record say?
Compound: Rb2Cr2Ni
Source: the Alexandria database
Functional: PBE
Structure: relaxed Values from VASP.

Properties
* formation energy from the elements: 1.739 eV per atom
* total magnetization: 0.33 Bohr magnetons per cell
* energy: -3.654 eV/atom

Structure (Quantum ESPRESSO input):
```
&SYSTEM
  ibrav = 0, nat = 5, ntyp = 3
/
ATOMIC_SPECIES
Cr 52.00 Cr.upf
Ni 58.69 Ni.upf
Rb 85.47 Rb.upf
ATOMIC_POSITIONS angstrom
Cr 2.090 2.090 0.860
Cr 4.180 4.180 6.659
Ni 0.000 0.000 0.000
Rb 2.090 4.180 3.760
Rb 4.180 2.090 3.760
CELL_PARAMETERS angstrom
4.180 0.000 0.000
0.000 4.180 0.000
2.090 2.090 7.519
```